Record 1
A plane-wave DFT calculation with PBE was carried out for a relaxed LaPrSmTm2 crystal.

Results
Formation energy, eV/atom: 0.331
Space group: Cmcm, No. 63

Unit cell a=7.2426 b=8.4873 c=7.2009 alpha=126.11 beta=90.00 gamma=90.00
Closest atoms and distances in Å follow each position.
Sites, in units of the cell vectors:
Pr  0.2500  0.2772  0.5544  1 Sm 3.22, 4 Tm 3.54
Pr  0.7500  0.7228  0.4456  1 Sm 3.22, 4 Tm 3.54
Sm  0.2500  0.0007  0.0015  1 La 3.12, 4 Tm 3.21, 1 Pr 3.22
Sm  0.7500  0.9993  0.9985  1 La 3.12, 4 Tm 3.21, 1 Pr 3.22
Tm  0.5000  0.6875  0.0000  1 Tm 3.18, 2 Sm 3.21, 2 Pr 3.54
Tm  0.0000  0.6875  0.0000  1 Tm 3.18, 2 Sm 3.21, 2 Pr 3.54
Tm  0.0000  0.3125  0.0000  1 Tm 3.18, 2 Sm 3.21, 2 Pr 3.54
Tm  0.5000  0.3125  0.0000  1 Tm 3.18, 2 Sm 3.21, 2 Pr 3.54
La  0.7500  0.2678  0.5356  1 Sm 3.12
La  0.2500  0.7322  0.4644  1 Sm 3.12


Record 2
A plane-wave DFT calculation with PBE was carried out for a relaxed LaPr5Sm2Tm crystal.

Results
Formation energy, eV/atom: 0.276
Space group: I4/mcm, No. 140

Unit cell a=9.1223 b=9.1223 c=10.0714 alpha=116.93 beta=116.93 gamma=90.00
Closest atoms and distances in Å follow each position.
Sites, in units of the cell vectors:
Tm  0.7500  0.2500  0.5000  4 Pr 3.19
Tm  0.2500  0.7500  0.5000  4 Pr 3.19
Pr  0.6566  0.1566  0.7268  1 Sm 3.13, 1 Tm 3.19
Pr  0.8434  0.9298  0.2732  1 Sm 3.13, 1 Tm 3.19
Pr  0.9298  0.4298  0.2732  1 Sm 3.13, 1 Tm 3.19
Pr  0.4298  0.3434  0.2732  1 Sm 3.13, 1 Tm 3.19
Pr  0.1566  0.0702  0.7268  1 Sm 3.13, 1 Tm 3.19
Pr  0.3434  0.8434  0.2732  1 Sm 3.13, 1 Tm 3.19
Pr  0.0000  0.0000  0.0000  4 Sm 3.67, 2 La 3.87, 8 Pr 3.90
Pr  0.0702  0.5702  0.7268  1 Sm 3.13, 1 Tm 3.19
Pr  0.5702  0.6566  0.7268  1 Sm 3.13, 1 Tm 3.19
Pr  0.5000  0.5000  0.0000  4 Sm 3.67, 2 La 3.87, 8 Pr 3.90
Sm  0.6143  0.1143  0.0000  1 Sm 2.95, 2 Pr 3.13
Sm  0.8857  0.6143  0.0000  1 Sm 2.95, 2 Pr 3.13
Sm  0.3857  0.8857  0.0000  1 Sm 2.95, 2 Pr 3.13
Sm  0.1143  0.3857  0.0000  1 Sm 2.95, 2 Pr 3.13
La  0.7500  0.7500  0.5000  10 Pr 3.71-3.87
La  0.2500  0.2500  0.5000  10 Pr 3.71-3.87